Entry from the Alexandria database: a relaxed structure of HfMnP2O (PBE+U).

**M_tot**: 0.6246 μB/atom
**DOS(E_F)**: 1.83 states/eV per cell
**Uncorrected energy**: -34.5 eV per cell
**ΔE to the lowest computed polymorph**: 263 meV per atom

The structure in POSCAR format:
```
HfMnP2O
1.0
4.6657 0.0000 0.0000
0.0000 4.6657 0.0000
0.0000 0.0000 3.6305
P Hf Mn O
2 1 1 1
Cartesian
2.3329 0.0000 0.0000
0.0000 2.3329 0.0000
2.3329 2.3329 1.8153
0.0000 0.0000 0.0000
0.0000 0.0000 1.8153
```